w | A relaxed structure of TbNd2Ge2. Source: Alexandria, functional GGA-PBE.

abc: 4.408 7.746 7.746
angles: 90.00 90.00 90.00
Fractional positions:
Tb  0.000  0.500  0.500
Ge  0.000  0.378  0.878
Tb  0.000  0.000  0.000
Nd  0.500  0.325  0.175
Nd  0.500  0.675  0.825
Ge  0.000  0.878  0.622
Ge  0.000  0.122  0.378
Nd  0.500  0.175  0.675
Ge  0.000  0.622  0.122
Nd  0.500  0.825  0.325

Calculated density in Mg/m³: 7.443
Magnetic moment in μB/f.u.: 0.0

=====

x | A relaxed structure of TbNd2Ge2. Source: Alexandria, functional GGA-PBE.

abc: 4.449 6.647 10.043
angles: 78.01 77.20 70.45
Fractional positions:
Nd  0.679  0.729  0.912
Tb  0.779  0.080  0.362
Nd  0.321  0.271  0.088
Ge  0.884  0.671  0.561
Ge  0.980  0.149  0.892
Ge  0.020  0.851  0.108
Ge  0.116  0.329  0.439
Tb  0.221  0.920  0.638
Nd  0.484  0.344  0.687
Nd  0.516  0.656  0.313

Calculated density in Mg/m³: 7.289
Magnetic moment in μB/f.u.: 0.0

=====

Which structure loses on stability? x does.

=====

w | A relaxed structure of NdTcGe2. Source: Alexandria, functional GGA-PBE.

abc: 4.896 4.896 7.022
angles: 69.60 69.60 60.00
Fractional positions:
Ge  0.876  0.876  0.373
Tc  0.000  0.000  0.000
Nd  0.500  0.500  0.500
Ge  0.124  0.124  0.627

Calculated density in Mg/m³: 4.823
Magnetic moment in μB/f.u.: 2.8

=====

x | A relaxed structure of NdTcGe2. Source: Alexandria, functional GGA-PBE.

abc: 4.260 7.337 10.408
angles: 90.00 90.00 90.00
Fractional positions:
Nd  0.750  0.342  0.370
Ge  0.250  0.201  0.569
Ge  0.250  0.142  0.188
Tc  0.250  0.979  0.393
Tc  0.250  0.479  0.107
Ge  0.750  0.799  0.431
Ge  0.750  0.299  0.069
Ge  0.750  0.858  0.812
Nd  0.250  0.658  0.630
Tc  0.750  0.521  0.893
Ge  0.750  0.358  0.688
Ge  0.250  0.701  0.931
Ge  0.250  0.642  0.312
Nd  0.750  0.842  0.130
Nd  0.250  0.158  0.870
Tc  0.750  0.021  0.607

Calculated density in Mg/m³: 7.912
Magnetic moment in μB/f.u.: 0.0

=====

y | A relaxed structure of NdTcGe2. Source: Alexandria, functional GGA-PBE.

abc: 4.566 4.568 5.443
angles: 114.83 114.85 90.00
Fractional positions:
Nd  0.222  0.881  0.228
Ge  0.576  0.236  0.937
Ge  0.867  0.526  0.519
Tc  0.471  0.631  0.728

Calculated density in Mg/m³: 7.047
Magnetic moment in μB/f.u.: 0.0

=====

z | A relaxed structure of NdTcGe2. Source: Alexandria, functional GGA-PBE.

abc: 3.245 3.245 7.127
angles: 90.00 90.00 90.00
Fractional positions:
Ge  0.000  0.000  0.806
Tc  0.500  0.500  0.000
Ge  0.000  0.000  0.194
Nd  0.500  0.500  0.500

Calculated density in Mg/m³: 8.572
Magnetic moment in μB/f.u.: 0.0

=====

Which structure loses on stability? w does.

=====

w | A relaxed structure of NdTc3Ge3. Source: Alexandria, functional GGA-PBE.

abc: 6.783 6.783 6.783
angles: 90.00 90.00 90.00
Fractional positions:
Tc  0.000  0.500  0.750
Nd  0.000  0.000  0.000
Tc  0.250  0.000  0.500
Tc  0.000  0.500  0.250
Tc  0.500  0.250  0.000
Ge  0.000  0.250  0.500
Ge  0.750  0.500  0.000
Nd  0.500  0.500  0.500
Tc  0.750  0.000  0.500
Ge  0.500  0.000  0.250
Ge  0.000  0.750  0.500
Ge  0.500  0.000  0.750
Ge  0.250  0.500  0.000
Tc  0.500  0.750  0.000

Calculated density in Mg/m³: 6.982
Magnetic moment in μB/f.u.: 2.6

=====

x | A relaxed structure of NdTc3Ge3. Source: Alexandria, functional GGA-PBE.

abc: 6.418 6.418 8.477
angles: 67.75 67.75 60.00
Fractional positions:
Tc  0.437  0.218  0.412
Nd  0.679  0.679  0.964
Ge  0.304  0.133  0.762
Tc  0.933  0.437  0.412
Tc  0.218  0.933  0.412
Ge  0.198  0.696  0.238
Nd  0.321  0.321  0.036
Ge  0.133  0.802  0.762
Tc  0.067  0.563  0.588
Ge  0.696  0.867  0.238
Tc  0.563  0.782  0.588
Ge  0.867  0.198  0.238
Tc  0.782  0.067  0.588
Ge  0.802  0.304  0.762

Calculated density in Mg/m³: 8.012
Magnetic moment in μB/f.u.: 0.0

=====

Which structure loses on stability? w does.

=====

w | A relaxed structure of Nd2GeTe. Source: Alexandria, functional GGA-PBE.

abc: 4.393 7.642 15.102
angles: 90.00 90.00 90.00
Fractional positions:
Ge  0.250  0.575  0.104
Nd  0.750  0.741  0.007
Nd  0.250  0.336  0.255
Ge  0.250  0.075  0.396
Nd  0.750  0.241  0.493
Te  0.750  0.086  0.143
Nd  0.250  0.759  0.507
Nd  0.250  0.836  0.245
Te  0.250  0.414  0.643
Nd  0.750  0.164  0.755
Nd  0.750  0.664  0.745
Ge  0.750  0.925  0.604
Ge  0.750  0.425  0.896
Nd  0.250  0.259  0.993
Te  0.750  0.586  0.357
Te  0.250  0.914  0.857

Calculated density in Mg/m³: 6.402
Magnetic moment in μB/f.u.: 0.0

=====

x | A relaxed structure of Nd2GeTe. Source: Alexandria, functional GGA-PBE.

abc: 4.385 4.385 7.753
angles: 73.57 73.57 60.00
Fractional positions:
Nd  0.258  0.258  0.225
Ge  0.000  0.000  0.000
Te  0.500  0.500  0.500
Nd  0.742  0.742  0.775

Calculated density in Mg/m³: 6.650
Magnetic moment in μB/f.u.: 0.0

=====

y | A relaxed structure of Nd2GeTe. Source: Alexandria, functional GGA-PBE.

abc: 4.351 4.351 7.957
angles: 74.13 74.13 60.00
Fractional positions:
Te  0.499  0.499  0.503
Nd  0.261  0.261  0.218
Nd  0.073  0.073  0.781
Ge  0.668  0.668  0.997

Calculated density in Mg/m³: 6.554
Magnetic moment in μB/f.u.: 0.0

=====

Which structure loses on stability? w does.

=====

w | A relaxed structure of NdGeTe3. Source: Alexandria, functional GGA-PBE.

abc: 4.298 10.817 13.246
angles: 90.00 90.00 90.00
Fractional positions:
Te  0.250  0.211  0.217
Ge  0.750  0.815  0.480
Te  0.250  0.859  0.034
Te  0.750  0.711  0.283
Nd  0.250  0.494  0.312
Ge  0.250  0.315  0.020
Te  0.250  0.641  0.534
Ge  0.750  0.685  0.980
Te  0.250  0.289  0.717
Te  0.750  0.475  0.127
Te  0.250  0.975  0.373
Te  0.750  0.789  0.783
Te  0.250  0.525  0.873
Te  0.750  0.359  0.466
Te  0.750  0.025  0.627
Ge  0.250  0.185  0.520
Nd  0.750  0.506  0.688
Nd  0.750  0.994  0.188
Te  0.750  0.141  0.966
Nd  0.250  0.006  0.812

Calculated density in Mg/m³: 6.467
Magnetic moment in μB/f.u.: 0.0

=====

x | A relaxed structure of NdGeTe3. Source: Alexandria, functional GGA-PBE.

abc: 6.616 9.928 11.620
angles: 90.00 90.00 90.00
Fractional positions:
Te  0.273  0.988  0.750
Ge  0.959  0.770  0.250
Te  0.738  0.748  0.919
Nd  0.000  0.500  0.000
Nd  0.500  0.000  0.000
Te  0.227  0.488  0.750
Te  0.773  0.512  0.250
Ge  0.541  0.270  0.250
Te  0.762  0.248  0.581
Ge  0.041  0.230  0.750
Nd  0.500  0.000  0.500
Te  0.727  0.012  0.250
Ge  0.459  0.730  0.750
Nd  0.000  0.500  0.500
Te  0.238  0.752  0.081
Te  0.238  0.752  0.419
Te  0.738  0.748  0.581
Te  0.762  0.248  0.919
Te  0.262  0.252  0.419
Te  0.262  0.252  0.081

Calculated density in Mg/m³: 5.218
Magnetic moment in μB/f.u.: 0.0

=====

Which structure loses on stability? x does.

=====

w | A relaxed structure of Nd3TlGe. Source: Alexandria, functional GGA-PBE.

abc: 5.848 7.083 9.212
angles: 112.52 90.12 114.27
Fractional positions:
Ge  0.130  0.258  0.938
Tl  0.393  0.787  0.553
Nd  0.379  0.761  0.093
Nd  0.881  0.760  0.755
Nd  0.621  0.239  0.907
Tl  0.607  0.213  0.447
Nd  0.119  0.240  0.245
Nd  0.844  0.688  0.363
Nd  0.156  0.312  0.637
Ge  0.870  0.742  0.062

Calculated density in Mg/m³: 7.471
Magnetic moment in μB/f.u.: 0.0

=====

x | A relaxed structure of Nd3TlGe. Source: Alexandria, functional GGA-PBE.

abc: 6.071 6.071 9.120
angles: 103.05 103.05 108.82
Fractional positions:
Nd  0.416  0.296  0.711
Nd  0.796  0.916  0.711
Tl  0.207  0.707  0.500
Ge  0.250  0.250  0.000
Nd  0.204  0.084  0.289
Nd  0.584  0.704  0.289
Tl  0.793  0.293  0.500
Nd  0.191  0.691  0.881
Nd  0.809  0.309  0.119
Ge  0.750  0.750  0.000

Calculated density in Mg/m³: 8.038
Magnetic moment in μB/f.u.: 0.0

=====

Which structure loses on stability? w does.

=====

w | A relaxed structure of NdTm2Ge. Source: Alexandria, functional GGA-PBE.

abc: 3.647 3.647 10.159
angles: 79.66 79.66 60.00
Fractional positions:
Ge  0.000  0.000  0.000
Tm  0.267  0.267  0.198
Tm  0.733  0.733  0.802
Nd  0.500  0.500  0.500

Calculated density in Mg/m³: 8.048
Magnetic moment in μB/f.u.: 0.0

=====

x | A relaxed structure of NdTm2Ge. Source: Alexandria, functional GGA-PBE.

abc: 3.583 3.583 8.569
angles: 90.00 90.00 90.00
Fractional positions:
Ge  0.500  0.500  0.000
Tm  0.000  0.000  0.197
Tm  0.000  0.000  0.803
Nd  0.500  0.500  0.500

Calculated density in Mg/m³: 8.375
Magnetic moment in μB/f.u.: 0.0

=====

Which structure loses on stability? w does.

=====

w | A relaxed structure of Nd2YGe2. Source: Alexandria, functional GGA-PBE.

abc: 4.419 7.727 7.727
angles: 90.00 90.00 90.00
Fractional positions:
Nd  0.500  0.326  0.174
Y  0.000  0.000  0.000
Y  0.000  0.500  0.500
Nd  0.500  0.174  0.674
Nd  0.500  0.826  0.326
Ge  0.000  0.378  0.878
Nd  0.500  0.674  0.826
Ge  0.000  0.622  0.122
Ge  0.000  0.878  0.622
Ge  0.000  0.122  0.378

Calculated density in Mg/m³: 6.579
Magnetic moment in μB/f.u.: 0.0

=====

x | A relaxed structure of Nd2YGe2. Source: Alexandria, functional GGA-PBE.

abc: 4.441 6.657 10.039
angles: 77.99 77.22 70.51
Fractional positions:
Y  0.222  0.918  0.637
Ge  0.018  0.855  0.109
Y  0.778  0.082  0.363
Ge  0.884  0.672  0.560
Nd  0.679  0.730  0.912
Nd  0.516  0.656  0.313
Ge  0.982  0.145  0.891
Nd  0.321  0.270  0.088
Nd  0.484  0.344  0.687
Ge  0.116  0.328  0.440

Calculated density in Mg/m³: 6.430
Magnetic moment in μB/f.u.: 0.0

=====

Which structure loses on stability? x does.